# 1
The following is a DFT calculation (PBE-GGA) of KTi3Zn after structural relaxation.

Results
Calculated total energy in eV per atom: -4.149
Energy relative to the elements in eV/f.u.: 5.3

Cell: 5.0130 5.0130 5.0130 Å, 90.00 90.00 90.00°
Space group Pm-3m (No. 221)
Asymmetric unit:
K (0.0000, 0.0000, 0.0000)
Ti (0.0000, 0.5000, 0.5000)
Zn (0.5000, 0.5000, 0.5000)



# 2
The following is a DFT calculation (PBE-GGA) of Y2RuBr after structural relaxation.

Results
Calculated total energy in eV per atom: -6.207

Cell: 4.0257 4.0257 11.1629 Å, 90.00 90.00 90.00°
Space group I-4m2 (No. 119)
Asymmetric unit:
Y (0.0000, 0.0000, 0.0000)
Y (0.0000, 0.5000, 0.2500)
Ru (0.0000, 0.0000, 0.5000)
Br (0.0000, 0.5000, 0.7500)



no.,excess energy over the best structure of this formula in the dataset (meV/atom)
1,0.0
2,556.6